1.
DyEr2Al3CuSi2 | PBE-GGA | relaxed

Results
As for the symmetry: Amm2, No. 38.

Unit cell a=4.149 b=6.884 c=6.884 alpha=120.07 beta=90.00 gamma=90.00
Positions (direct):
Dy 0.000 0.000 0.000
Er 0.000 0.187 0.594
Er 0.000 0.594 0.187
Al 0.500 0.355 0.355
Al 0.500 0.593 0.831
Al 0.500 0.831 0.593
Cu 0.000 0.591 0.591
Si 0.500 0.261 0.926
Si 0.500 0.926 0.261

***

2.
GdDy2Al3FeCu2 | PBE-GGA | relaxed

Results
As for the symmetry: Amm2, No. 38.

Unit cell a=4.001 b=7.021 c=7.021 alpha=119.84 beta=90.00 gamma=90.00
Positions (direct):
Gd 0.000 0.000 0.000
Dy 0.000 0.415 0.830
Dy 0.000 0.830 0.415
Al 0.500 0.182 0.417
Al 0.500 0.417 0.182
Al 0.500 0.650 0.650
Fe 0.000 0.417 0.417
Cu 0.500 0.083 0.747
Cu 0.500 0.747 0.083

***

3.
NdDy2Al3FeCu2 | PBE-GGA | relaxed

Results
As for the symmetry: Amm2, No. 38.

Unit cell a=4.035 b=7.024 c=7.024 alpha=119.27 beta=90.00 gamma=90.00
Positions (direct):
Nd 0.000 0.000 0.000
Dy 0.000 0.416 0.830
Dy 0.000 0.830 0.416
Al 0.500 0.187 0.421
Al 0.500 0.421 0.187
Al 0.500 0.647 0.647
Fe 0.000 0.421 0.421
Cu 0.500 0.085 0.743
Cu 0.500 0.743 0.085

***

4.
DyTm2Al3FeCu2 | PBE-GGA | relaxed

Results
As for the symmetry: Amm2, No. 38.

Unit cell a=3.976 b=6.920 c=6.920 alpha=119.94 beta=90.00 gamma=90.00
Positions (direct):
Dy 0.000 0.000 0.000
Tm 0.000 0.178 0.588
Tm 0.000 0.588 0.178
Al 0.500 0.356 0.356
Al 0.500 0.587 0.819
Al 0.500 0.819 0.587
Fe 0.000 0.585 0.585
Cu 0.500 0.257 0.920
Cu 0.500 0.920 0.257

***

| no. | energy (eV for the cell shown) | density (g cm⁻³) |
| --- | --- | --- |
| 1 | -45.24 | 6.81 |
| 2 | -44.14 | 7.24 |
| 3 | -44.04 | 7.01 |
| 4 | -43.95 | 7.69 |